Record 1
A relaxed structure of Ca2InMo, computed with PBE.

Unit cell a=3.092 b=3.092 c=10.048 alpha=90.00 beta=90.00 gamma=91.09
Fractional coordinates of all 4 atoms:
Mo1 0.500 0.500 0.750
In1 0.500 0.500 0.250
Ca1 0.000 0.000 0.987
Ca2 0.000 0.000 0.513

Computed properties:
total magnetic moment: 0.00 μB/cell
formation energy from the elements: 134.2 kJ/mol of formula units
DOS(E_F): 3.3 states/eV/f.u.
theoretical density: 5.0 g/cm³

---

Record 2
A relaxed structure of Ca2InMo, computed with PBE.

Unit cell a=7.054 b=5.848 c=3.131 alpha=90.01 beta=63.63 gamma=118.96
Fractional coordinates of all 4 atoms:
In1 0.000 0.500 0.500
Ca1 0.000 0.000 0.000
Ca2 0.500 0.000 0.500
Mo1 0.500 0.500 0.000

Computed properties:
total magnetic moment: 0.00 μB/cell
formation energy from the elements: 174.4 kJ/mol of formula units
DOS(E_F): 4.8 states/eV/f.u.
theoretical density: 5.0 g/cm³

---

Record 3
A relaxed structure of CaIn2Mo, computed with PBE.

Unit cell a=3.118 b=3.118 c=9.023 alpha=90.00 beta=90.00 gamma=90.00
Fractional coordinates of all 4 atoms:
In1 0.000 0.000 0.472
In2 0.000 0.000 0.028
Ca1 0.500 0.500 0.750
Mo1 0.500 0.500 0.250

Computed properties:
total magnetic moment: 0.43 μB/cell
formation energy from the elements: 39.5 kJ/mol of formula units
DOS(E_F): 2.5 states/eV/f.u.
theoretical density: 6.9 g/cm³
offset from the most stable computed form: 0.0 kJ per mole of atoms

---

Record 4
A relaxed structure of CaIn2Mo, computed with PBE.

Unit cell a=5.157 b=5.157 c=6.099 alpha=83.03 beta=83.03 gamma=34.52
Fractional coordinates of all 4 atoms:
Mo1 0.750 0.750 0.750
Ca1 0.250 0.250 0.250
In1 0.491 0.491 0.536
In2 0.009 0.009 0.964

Computed properties:
total magnetic moment: 0.00 μB/cell
formation energy from the elements: 89.0 kJ/mol of formula units
DOS(E_F): 2.8 states/eV/f.u.
theoretical density: 6.7 g/cm³
offset from the most stable computed form: 12.4 kJ per mole of atoms

---

Record 5
A relaxed structure of CaIn2Mo, computed with PBE.

Unit cell a=3.081 b=5.866 c=6.128 alpha=54.19 beta=90.00 gamma=90.00
Fractional coordinates of all 4 atoms:
In1 0.000 0.000 0.000
In2 0.500 0.500 0.000
Mo1 0.500 0.500 0.500
Ca1 0.000 0.000 0.500

Computed properties:
total magnetic moment: 0.00 μB/cell
formation energy from the elements: 138.3 kJ/mol of formula units
DOS(E_F): 4.0 states/eV/f.u.
theoretical density: 6.8 g/cm³
offset from the most stable computed form: 24.7 kJ per mole of atoms

---

Record 6
A relaxed structure of Ca2InMo, computed with PBE.

Unit cell a=5.020 b=3.249 c=6.421 alpha=76.45 beta=90.00 gamma=90.00
Fractional coordinates of all 4 atoms:
In1 0.000 0.674 0.508
Ca1 0.500 0.278 0.296
Ca2 0.000 0.972 0.950
Mo1 0.500 0.576 0.746

Computed properties:
total magnetic moment: 0.05 μB/cell
formation energy from the elements: 149.4 kJ/mol of formula units
DOS(E_F): 5.7 states/eV/f.u.
theoretical density: 4.7 g/cm³